(one)
! TlIr3W | Alexandria | PBE | relaxed; values from VASP
! Space group ... Pm-3m (221)
! Total magnetic moment ... 0.00 μB/cell
&SYSTEM
  ibrav = 0, nat = 5, ntyp = 3
/
ATOMIC_SPECIES
Tl 204.38 Tl.upf
Ir 192.22 Ir.upf
W 183.84 W.upf
ATOMIC_POSITIONS angstrom
Tl 0.0000 0.0000 0.0000
Ir 0.0000 0.0000 2.4088
Ir 0.0000 2.4088 0.0000
Ir 2.4088 0.0000 0.0000
W 2.4088 2.4088 2.4088
CELL_PARAMETERS angstrom
4.8175 0.0000 0.0000
0.0000 4.8175 0.0000
0.0000 0.0000 4.8175

---

(two)
! TlIr3W | Alexandria | PBE | relaxed; values from VASP
! Space group ... Pm-3m (221)
! Total magnetic moment ... 0.00 μB/cell
&SYSTEM
  ibrav = 0, nat = 5, ntyp = 3
/
ATOMIC_SPECIES
Tl 204.38 Tl.upf
Ir 192.22 Ir.upf
W 183.84 W.upf
ATOMIC_POSITIONS angstrom
Tl 0.0000 0.0000 0.0000
Ir 0.0000 2.4083 2.4083
Ir 2.4083 0.0000 2.4083
Ir 2.4083 2.4083 0.0000
W 2.4083 2.4083 2.4083
CELL_PARAMETERS angstrom
4.8166 0.0000 0.0000
0.0000 4.8166 0.0000
0.0000 0.0000 4.8166

---

Least stable = (one)

---

(one)
! Y6Tl2Ir | Alexandria | PBE | relaxed; values from VASP
! Space group ... P2_1/c (14)
! Total magnetic moment ... 0.00 μB/cell
&SYSTEM
  ibrav = 0, nat = 18, ntyp = 3
/
ATOMIC_SPECIES
Y 88.91 Y.upf
Tl 204.38 Tl.upf
Ir 192.22 Ir.upf
ATOMIC_POSITIONS angstrom
Y -2.1922 1.5980 4.4320
Y -5.0765 2.6967 9.4036
Y -0.5241 5.7782 4.4286
Y -3.4084 7.1058 9.4002
Y 0.7685 0.2468 2.5924
Y -2.1158 4.0479 7.5640
Y 2.5186 4.5414 2.3792
Y -0.3657 8.3426 7.3507
Y 3.8113 1.4836 0.5429
Y 0.9270 2.8111 5.5145
Y 5.4794 5.8927 0.5396
Y 2.5951 6.9913 5.5111
Tl -3.2767 1.0410 7.4460
Tl -0.3924 3.2537 2.4745
Tl 0.7953 5.3357 7.4687
Tl 3.6796 7.5483 2.4971
Ir 0.0000 0.0000 0.0000
Ir -2.8843 4.2947 4.9716
CELL_PARAMETERS angstrom
6.1715 0.0000 0.0000
0.0000 8.5893 0.0000
-5.7686 0.0000 9.9431

---

(two)
! Y6Tl2Ir | Alexandria | PBE | relaxed; values from VASP
! Space group ... Amm2 (38)
! Total magnetic moment ... 0.00 μB/cell
&SYSTEM
  ibrav = 0, nat = 9, ntyp = 3
/
ATOMIC_SPECIES
Y 88.91 Y.upf
Tl 204.38 Tl.upf
Ir 192.22 Ir.upf
ATOMIC_POSITIONS angstrom
Y 0.0000 0.0000 0.0000
Y 0.0000 -1.7569 5.4988
Y 0.0000 1.7569 5.4988
Y 1.9544 -4.5318 3.8933
Y 1.9544 0.0000 3.0943
Y 1.9544 4.5318 3.8933
Tl 0.0000 -2.5024 2.1996
Tl 0.0000 2.5024 2.1996
Ir 1.9544 0.0000 6.6550
CELL_PARAMETERS angstrom
3.9087 0.0000 0.0000
0.0000 7.4421 4.3464
0.0000 -7.4421 4.3464

---

Least stable = (one)

---

(one)
! Y4TlIr | Alexandria | PBE | relaxed; values from VASP
! Space group ... F-43m (216)
! Total magnetic moment ... 0.00 μB/cell
&SYSTEM
  ibrav = 0, nat = 24, ntyp = 3
/
ATOMIC_SPECIES
Y 88.91 Y.upf
Tl 204.38 Tl.upf
Ir 192.22 Ir.upf
ATOMIC_POSITIONS angstrom
Y 8.9378 4.8003 4.8003
Y 3.4345 3.4345 0.8111
Y 3.4345 0.8111 3.4345
Y 6.0580 3.4345 3.4345
Y 6.8691 6.8691 2.6284
Y 6.8691 2.6284 6.8691
Y 11.1098 6.8691 6.8691
Y 0.8111 3.4345 3.4345
Y 3.4345 6.0580 3.4345
Y 3.4345 3.4345 6.0580
Y 4.8003 8.9378 4.8003
Y 4.8003 4.8003 8.9378
Y 8.9378 8.9378 8.9378
Y 2.6284 6.8691 6.8691
Y 6.8691 11.1098 6.8691
Y 6.8691 6.8691 11.1098
Tl 5.6863 5.6863 5.6863
Tl 8.0519 8.0519 5.6863
Tl 8.0519 5.6863 8.0519
Tl 5.6863 8.0519 8.0519
Ir 11.7988 8.8085 8.8085
Ir 8.8085 11.7988 8.8085
Ir 8.8085 8.8085 11.7988
Ir 11.7988 11.7988 11.7988
CELL_PARAMETERS angstrom
0.0000 6.8691 6.8691
6.8691 0.0000 6.8691
6.8691 6.8691 0.0000

---

(two)
! Y4TlIr | Alexandria | PBE | relaxed; values from VASP
! Space group ... F-43m (216)
! Total magnetic moment ... 0.00 μB/cell
&SYSTEM
  ibrav = 0, nat = 6, ntyp = 3
/
ATOMIC_SPECIES
Y 88.91 Y.upf
Tl 204.38 Tl.upf
Ir 192.22 Ir.upf
ATOMIC_POSITIONS angstrom
Y 1.0599 1.0599 1.0599
Y 3.2204 3.2204 1.0599
Y 3.2204 1.0599 3.2204
Y 1.0599 3.2204 3.2204
Tl 4.2803 4.2803 4.2803
Ir 6.4205 6.4205 6.4205
CELL_PARAMETERS angstrom
0.0000 4.2803 4.2803
4.2803 0.0000 4.2803
4.2803 4.2803 0.0000

---

(three)
! Y4TlIr | Alexandria | PBE | relaxed; values from VASP
! Space group ... P2_1/c (14)
! Total magnetic moment ... 0.00 μB/cell
&SYSTEM
  ibrav = 0, nat = 12, ntyp = 3
/
ATOMIC_SPECIES
Y 88.91 Y.upf
Tl 204.38 Tl.upf
Ir 192.22 Ir.upf
ATOMIC_POSITIONS angstrom
Y 0.9972 1.1345 1.2139
Y 0.8710 2.4061 4.6887
Y 2.3233 4.5491 0.8572
Y 2.1970 6.0725 4.3320
Y 5.0291 1.0085 2.6177
Y 4.9028 2.5320 6.0925
Y 6.3552 4.6750 2.2609
Y 6.2289 5.9466 5.7357
Tl 3.7393 0.0000 0.0000
Tl 3.6131 3.5405 3.4748
Ir -0.1263 0.0000 3.4748
Ir 0.0000 3.5405 0.0000
CELL_PARAMETERS angstrom
7.4787 0.0000 0.0000
0.0000 7.0811 0.0000
-0.2526 0.0000 6.9496

---

Least stable = (two)

---

(one)
! Y2Tl2Ir | Alexandria | PBE | relaxed; values from VASP
! Space group ... I4/mmm (139)
! Total magnetic moment ... 0.00 μB/cell
&SYSTEM
  ibrav = 0, nat = 10, ntyp = 3
/
ATOMIC_SPECIES
Y 88.91 Y.upf
Tl 204.38 Tl.upf
Ir 192.22 Ir.upf
ATOMIC_POSITIONS angstrom
Y 0.0000 0.0000 1.6259
Y 0.0000 0.0000 18.4202
Y 1.7708 1.7708 8.3971
Y 1.7708 1.7708 11.6490
Tl 0.0000 0.0000 6.0537
Tl 0.0000 0.0000 13.9924
Tl 1.7708 1.7708 3.9693
Tl 1.7708 1.7708 16.0768
Ir 0.0000 0.0000 10.0231
Ir 1.7708 1.7708 0.0000
CELL_PARAMETERS angstrom
3.5416 0.0000 0.0000
0.0000 3.5416 0.0000
0.0000 0.0000 20.0462

---

(two)
! Y2Tl2Ir | Alexandria | PBE | relaxed; values from VASP
! Space group ... P4/mbm (127)
! Total magnetic moment ... 0.00 μB/cell
&SYSTEM
  ibrav = 0, nat = 10, ntyp = 3
/
ATOMIC_SPECIES
Y 88.91 Y.upf
Tl 204.38 Tl.upf
Ir 192.22 Ir.upf
ATOMIC_POSITIONS angstrom
Y 1.2735 2.4505 0.0000
Y 2.4505 6.1744 0.0000
Y 4.9974 1.2735 0.0000
Y 6.1744 4.9974 0.0000
Tl 1.0373 4.7612 2.2070
Tl 2.6866 1.0373 2.2070
Tl 4.7612 6.4106 2.2070
Tl 6.4106 2.6866 2.2070
Ir 0.0000 0.0000 2.2070
Ir 3.7239 3.7239 2.2070
CELL_PARAMETERS angstrom
7.4479 0.0000 0.0000
0.0000 7.4479 0.0000
0.0000 0.0000 4.4141

---

Least stable = (two)

---

(one)
! TlZnIr | Alexandria | PBE | relaxed; values from VASP
! Space group ... P-6m2 (187)
! Total magnetic moment ... 0.00 μB/cell
&SYSTEM
  ibrav = 0, nat = 3, ntyp = 3
/
ATOMIC_SPECIES
Tl 204.38 Tl.upf
Zn 65.41 Zn.upf
Ir 192.22 Ir.upf
ATOMIC_POSITIONS angstrom
Tl 0.0000 0.0000 0.0000
Zn 2.2101 1.2760 1.5864
Ir 0.0000 2.5520 1.5864
CELL_PARAMETERS angstrom
4.4203 0.0000 0.0000
-2.2101 3.8281 0.0000
0.0000 0.0000 3.1728

---

(two)
! TlZnIr | Alexandria | PBE | relaxed; values from VASP
! Space group ... F-43m (216)
! Total magnetic moment ... 0.00 μB/cell
&SYSTEM
  ibrav = 0, nat = 12, ntyp = 3
/
ATOMIC_SPECIES
Tl 204.38 Tl.upf
Zn 65.41 Zn.upf
Ir 192.22 Ir.upf
ATOMIC_POSITIONS angstrom
Tl 0.0000 0.0000 0.0000
Tl 0.0000 3.1408 3.1408
Tl 3.1408 0.0000 3.1408
Tl 3.1408 3.1408 0.0000
Zn 0.0000 0.0000 3.1408
Zn 0.0000 3.1408 0.0000
Zn 3.1408 0.0000 0.0000
Zn 3.1408 3.1408 3.1408
Ir 1.5704 1.5704 4.7112
Ir 1.5704 4.7112 1.5704
Ir 4.7112 1.5704 1.5704
Ir 4.7112 4.7112 4.7112
CELL_PARAMETERS angstrom
6.2816 0.0000 0.0000
0.0000 6.2816 0.0000
0.0000 0.0000 6.2816

---

(three)
! TlZnIr | Alexandria | PBE | relaxed; values from VASP
! Space group ... P3m1 (156)
! Total magnetic moment ... 0.00 μB/cell
&SYSTEM
  ibrav = 0, nat = 3, ntyp = 3
/
ATOMIC_SPECIES
Tl 204.38 Tl.upf
Zn 65.41 Zn.upf
Ir 192.22 Ir.upf
ATOMIC_POSITIONS angstrom
Tl 0.0000 0.0000 0.0000
Zn 1.5251 0.8805 2.5986
Ir 0.0000 1.7610 4.4936
CELL_PARAMETERS angstrom
3.0502 0.0000 0.0000
-1.5251 2.6415 0.0000
0.0000 0.0000 6.8725

---

Least stable = (three)

---

(one)
! TlZnIr2 | Alexandria | PBE | relaxed; values from VASP
! Space group ... Fm-3m (225)
! Total magnetic moment ... 0.00 μB/cell
&SYSTEM
  ibrav = 0, nat = 16, ntyp = 3
/
ATOMIC_SPECIES
Tl 204.38 Tl.upf
Zn 65.41 Zn.upf
Ir 192.22 Ir.upf
ATOMIC_POSITIONS angstrom
Tl 0.0000 0.0000 0.0000
Tl 0.0000 3.1913 3.1913
Tl 3.1913 0.0000 3.1913
Tl 3.1913 3.1913 0.0000
Zn 0.0000 0.0000 3.1913
Zn 0.0000 3.1913 0.0000
Zn 3.1913 0.0000 0.0000
Zn 3.1913 3.1913 3.1913
Ir 1.5956 1.5956 1.5956
Ir 1.5956 1.5956 4.7869
Ir 1.5956 4.7869 1.5956
Ir 1.5956 4.7869 4.7869
Ir 4.7869 1.5956 1.5956
Ir 4.7869 1.5956 4.7869
Ir 4.7869 4.7869 1.5956
Ir 4.7869 4.7869 4.7869
CELL_PARAMETERS angstrom
6.3826 0.0000 0.0000
0.0000 6.3826 0.0000
0.0000 0.0000 6.3826

---

(two)
! TlZnIr2 | Alexandria | PBE | relaxed; values from VASP
! Space group ... P4mm (99)
! Total magnetic moment ... 0.00 μB/cell
&SYSTEM
  ibrav = 0, nat = 4, ntyp = 3
/
ATOMIC_SPECIES
Tl 204.38 Tl.upf
Zn 65.41 Zn.upf
Ir 192.22 Ir.upf
ATOMIC_POSITIONS angstrom
Tl 0.0000 0.0000 0.0000
Zn 1.4428 1.4428 2.8441
Ir 0.0000 0.0000 4.5234
Ir 1.4428 1.4428 6.2886
CELL_PARAMETERS angstrom
2.8857 0.0000 0.0000
0.0000 2.8857 0.0000
0.0000 0.0000 8.6286

---

Least stable = (two)

---

(one)
! TlZnIr2 | Alexandria | PBE | relaxed; values from VASP
! Space group ... I-4m2 (119)
! Total magnetic moment ... 0.00 μB/cell
&SYSTEM
  ibrav = 0, nat = 8, ntyp = 3
/
ATOMIC_SPECIES
Tl 204.38 Tl.upf
Zn 65.41 Zn.upf
Ir 192.22 Ir.upf
ATOMIC_POSITIONS angstrom
Tl 0.0000 0.0000 0.0000
Tl 2.0072 2.0072 4.0922
Zn 0.0000 2.0072 6.1384
Zn 2.0072 0.0000 2.0461
Ir 0.0000 0.0000 4.0922
Ir 0.0000 2.0072 2.0461
Ir 2.0072 0.0000 6.1384
Ir 2.0072 2.0072 0.0000
CELL_PARAMETERS angstrom
4.0144 0.0000 0.0000
0.0000 4.0144 0.0000
0.0000 0.0000 8.1845

---

(two)
! TlZnIr2 | Alexandria | PBE | relaxed; values from VASP
! Space group ... C2/m (12)
! Total magnetic moment ... 0.00 μB/cell
&SYSTEM
  ibrav = 0, nat = 8, ntyp = 3
/
ATOMIC_SPECIES
Tl 204.38 Tl.upf
Zn 65.41 Zn.upf
Ir 192.22 Ir.upf
ATOMIC_POSITIONS angstrom
Tl 0.0000 0.0000 0.0000
Tl 4.4080 1.4899 0.0000
Zn -0.4906 1.4899 2.5477
Zn 3.9174 0.0000 2.5477
Ir 1.4181 0.0000 3.6287
Ir 2.0087 1.4899 1.4667
Ir 5.8261 1.4899 3.6287
Ir 6.4167 0.0000 1.4667
CELL_PARAMETERS angstrom
8.8160 0.0000 0.0000
0.0000 2.9798 0.0000
-0.9812 0.0000 5.0954

---

Least stable = (one)

---

(one)
! TlZnIr2 | Alexandria | PBE | relaxed; values from VASP
! Space group ... Pmm2 (25)
! Total magnetic moment ... 0.00 μB/cell
&SYSTEM
  ibrav = 0, nat = 4, ntyp = 3
/
ATOMIC_SPECIES
Tl 204.38 Tl.upf
Zn 65.41 Zn.upf
Ir 192.22 Ir.upf
ATOMIC_POSITIONS angstrom
Tl 0.0000 0.0000 0.0000
Zn 1.4324 1.9227 1.8986
Ir 0.0000 0.0000 2.9943
Ir 1.4324 1.9227 4.4977
CELL_PARAMETERS angstrom
2.8647 0.0000 0.0000
0.0000 3.8455 0.0000
0.0000 0.0000 6.0984

---

(two)
! TlZnIr2 | Alexandria | PBE | relaxed; values from VASP
! Space group ... R-3m (166)
! Total magnetic moment ... 0.00 μB/cell
&SYSTEM
  ibrav = 0, nat = 12, ntyp = 3
/
ATOMIC_SPECIES
Tl 204.38 Tl.upf
Zn 65.41 Zn.upf
Ir 192.22 Ir.upf
ATOMIC_POSITIONS angstrom
Tl 0.0000 0.0000 0.0000
Tl 0.0000 1.7356 16.9818
Tl 1.5030 0.8678 8.4909
Zn 0.0000 0.0000 12.7364
Zn 0.0000 1.7356 4.2455
Zn 1.5030 0.8678 21.2273
Ir 0.0000 0.0000 6.2244
Ir 0.0000 0.0000 19.2484
Ir 0.0000 1.7356 10.7574
Ir 0.0000 1.7356 23.2062
Ir 1.5030 0.8678 2.2665
Ir 1.5030 0.8678 14.7153
CELL_PARAMETERS angstrom
3.0061 0.0000 0.0000
-1.5030 2.6034 0.0000
0.0000 0.0000 25.4727

---

Least stable = (two)

---

(one)
! TlZnIr2 | Alexandria | PBE | relaxed; values from VASP
! Space group ... F-43m (216)
! Total magnetic moment ... 2.13 μB/cell
&SYSTEM
  ibrav = 0, nat = 16, ntyp = 3
/
ATOMIC_SPECIES
Tl 204.38 Tl.upf
Zn 65.41 Zn.upf
Ir 192.22 Ir.upf
ATOMIC_POSITIONS angstrom
Tl 0.0000 0.0000 0.0000
Tl 0.0000 3.2156 3.2156
Tl 3.2156 0.0000 3.2156
Tl 3.2156 3.2156 0.0000
Zn 1.6078 1.6078 1.6078
Zn 1.6078 4.8234 4.8234
Zn 4.8234 1.6078 4.8234
Zn 4.8234 4.8234 1.6078
Ir 0.0000 0.0000 3.2156
Ir 0.0000 3.2156 0.0000
Ir 1.6078 1.6078 4.8234
Ir 1.6078 4.8234 1.6078
Ir 3.2156 0.0000 0.0000
Ir 3.2156 3.2156 3.2156
Ir 4.8234 1.6078 1.6078
Ir 4.8234 4.8234 4.8234
CELL_PARAMETERS angstrom
6.4312 0.0000 0.0000
0.0000 6.4312 0.0000
0.0000 0.0000 6.4312

---

(two)
! TlZnIr2 | Alexandria | PBE | relaxed; values from VASP
! Space group ... Cmmm (65)
! Total magnetic moment ... 0.00 μB/cell
&SYSTEM
  ibrav = 0, nat = 8, ntyp = 3
/
ATOMIC_SPECIES
Tl 204.38 Tl.upf
Zn 65.41 Zn.upf
Ir 192.22 Ir.upf
ATOMIC_POSITIONS angstrom
Tl 0.0000 0.0000 0.0000
Tl 1.4842 2.4952 0.0000
Zn 0.0000 0.0000 4.5433
Zn 1.4842 2.4952 4.5433
Ir 0.0000 2.4952 2.4697
Ir 0.0000 2.4952 6.6170
Ir 1.4842 0.0000 2.4697
Ir 1.4842 0.0000 6.6170
CELL_PARAMETERS angstrom
2.9685 0.0000 0.0000
0.0000 4.9904 0.0000
0.0000 0.0000 9.0867

---

(three)
! TlZnIr2 | Alexandria | PBE | relaxed; values from VASP
! Space group ... I-42d (122)
! Total magnetic moment ... 0.00 μB/cell
&SYSTEM
  ibrav = 0, nat = 16, ntyp = 3
/
ATOMIC_SPECIES
Tl 204.38 Tl.upf
Zn 65.41 Zn.upf
Ir 192.22 Ir.upf
ATOMIC_POSITIONS angstrom
Tl 0.0000 0.0000 0.0000
Tl 0.0000 2.0480 4.5269
Tl 2.0480 0.0000 13.5806
Tl 2.0480 2.0480 9.0537
Zn 0.0000 0.0000 9.0537
Zn 0.0000 2.0480 13.5806
Zn 2.0480 0.0000 4.5269
Zn 2.0480 2.0480 0.0000
Ir 0.7306 1.0240 11.3172
Ir 1.0240 2.7786 15.8441
Ir 1.0240 3.3653 6.7903
Ir 1.3174 1.0240 2.2634
Ir 2.7786 3.0720 2.2634
Ir 3.0720 0.7306 6.7903
Ir 3.0720 1.3174 15.8441
Ir 3.3653 3.0720 11.3172
CELL_PARAMETERS angstrom
4.0959 0.0000 0.0000
0.0000 4.0959 0.0000
0.0000 0.0000 18.1075

---

(four)
! TlZnIr2 | Alexandria | PBE | relaxed; values from VASP
! Space group ... P4/mmm (123)
! Total magnetic moment ... 0.00 μB/cell
&SYSTEM
  ibrav = 0, nat = 4, ntyp = 3
/
ATOMIC_SPECIES
Tl 204.38 Tl.upf
Zn 65.41 Zn.upf
Ir 192.22 Ir.upf
ATOMIC_POSITIONS angstrom
Tl 0.0000 0.0000 0.0000
Zn 0.0000 0.0000 3.2081
Ir 1.5872 1.5872 1.7677
Ir 1.5872 1.5872 4.6486
CELL_PARAMETERS angstrom
3.1744 0.0000 0.0000
0.0000 3.1744 0.0000
0.0000 0.0000 6.4162

---

Least stable = (three)

---

(one)
! TlZnIr2 | Alexandria | PBE | relaxed; values from VASP
! Space group ... Immm (71)
! Total magnetic moment ... 0.00 μB/cell
&SYSTEM
  ibrav = 0, nat = 8, ntyp = 3
/
ATOMIC_SPECIES
Tl 204.38 Tl.upf
Zn 65.41 Zn.upf
Ir 192.22 Ir.upf
ATOMIC_POSITIONS angstrom
Tl 0.0000 0.0000 0.0000
Tl 1.4685 2.4625 4.5609
Zn 0.0000 0.0000 4.5609
Zn 1.4685 2.4625 0.0000
Ir 0.0000 2.4625 2.1289
Ir 0.0000 2.4625 6.9930
Ir 1.4685 0.0000 2.4320
Ir 1.4685 0.0000 6.6898
CELL_PARAMETERS angstrom
2.9370 0.0000 0.0000
0.0000 4.9251 0.0000
0.0000 0.0000 9.1219

---

(two)
! TlZnIr2 | Alexandria | PBE | relaxed; values from VASP
! Space group ... P2/m (10)
! Total magnetic moment ... 0.00 μB/cell
&SYSTEM
  ibrav = 0, nat = 4, ntyp = 3
/
ATOMIC_SPECIES
Tl 204.38 Tl.upf
Zn 65.41 Zn.upf
Ir 192.22 Ir.upf
ATOMIC_POSITIONS angstrom
Tl 0.0000 0.0000 0.0000
Zn -0.7228 0.0000 2.6829
Ir 0.0471 2.1033 3.8746
Ir 1.4423 2.1033 1.4913
CELL_PARAMETERS angstrom
2.9351 0.0000 0.0000
0.0000 4.2066 0.0000
-1.4457 0.0000 5.3658

---

(three)
! TlZnIr2 | Alexandria | PBE | relaxed; values from VASP
! Space group ... Imm2 (44)
! Total magnetic moment ... 0.00 μB/cell
&SYSTEM
  ibrav = 0, nat = 8, ntyp = 3
/
ATOMIC_SPECIES
Tl 204.38 Tl.upf
Zn 65.41 Zn.upf
Ir 192.22 Ir.upf
ATOMIC_POSITIONS angstrom
Tl 0.0000 0.0000 0.0000
Tl 1.4355 2.0826 6.1884
Zn 0.0000 2.0826 2.9902
Zn 1.4355 0.0000 9.1785
Ir 0.0000 0.0000 4.6980
Ir 0.0000 2.0826 8.6766
Ir 1.4355 0.0000 2.4882
Ir 1.4355 2.0826 10.8864
CELL_PARAMETERS angstrom
2.8710 0.0000 0.0000
0.0000 4.1652 0.0000
0.0000 0.0000 12.3767

---

(four)
! TlZnIr2 | Alexandria | PBE | relaxed; values from VASP
! Space group ... Cm (8)
! Total magnetic moment ... 0.00 μB/cell
&SYSTEM
  ibrav = 0, nat = 8, ntyp = 3
/
ATOMIC_SPECIES
Tl 204.38 Tl.upf
Zn 65.41 Zn.upf
Ir 192.22 Ir.upf
ATOMIC_POSITIONS angstrom
Tl 0.0000 0.0000 0.0000
Tl 4.5102 1.4696 0.0000
Zn 1.4979 0.0000 3.5914
Zn 6.0082 1.4696 3.5914
Ir 2.0682 1.4696 1.4742
Ir 4.0072 0.0000 2.5553
Ir 6.5784 0.0000 1.4742
Ir 8.5174 1.4696 2.5553
CELL_PARAMETERS angstrom
9.0204 0.0000 0.0000
0.0000 2.9393 0.0000
-0.8515 0.0000 5.1391

---

Least stable = (four)